# 1
{"formula": "ZrTePb2", "functional": "PBE", "state": "relaxed", "lattice_angstrom": [[-0.8764, 3.9599, -1.2619], [-0.0701, -1.3889, -4.3098], [-5.8172, -1.8466, -1.7544]], "species": ["Zr", "Te", "Pb", "Pb"], "fractional_positions": [[0.5000, 0.5881, 0.7946], [0.0000, 0.6591, 0.4553], [0.5000, 0.2339, 0.3303], [0.0000, 0.0189, 0.9197]], "e_form_raw_ev_per_atom": -0.164}



# 2
{"formula": "ZrTePb2", "functional": "PBE", "state": "relaxed", "lattice_angstrom": [[11.5730, 0.0547, 0.0320], [11.0727, 3.3666, 0.0320], [11.0727, 1.6728, 2.9218]], "species": ["Zr", "Pb", "Te", "Pb"], "fractional_positions": [[0.7500, 0.7500, 0.7500], [0.4939, 0.4939, 0.4939], [0.2500, 0.2500, 0.2500], [0.0061, 0.0061, 0.0061]], "e_form_raw_ev_per_atom": 0.118}



# 3
{"formula": "ZrTePb2", "functional": "PBE", "state": "relaxed", "lattice_angstrom": [[-4.2487, 4.4904, 1.6149], [-6.2513, -0.9360, -0.9314], [5.2180, -2.4647, 2.7423]], "species": ["Pb", "Zr", "Te", "Pb"], "fractional_positions": [[0.4809, 0.4809, 0.0000], [0.2500, 0.7500, 0.5000], [0.7500, 0.2500, 0.5000], [0.0191, 0.0191, 0.0000]], "e_form_raw_ev_per_atom": -0.070}



# 4
{"formula": "Zr2TePb2", "functional": "PBE", "state": "relaxed", "lattice_angstrom": [[-7.0074, 2.2221, -2.4054], [-0.0547, -5.7601, -5.1618], [-1.8275, -2.6007, 2.9215]], "species": ["Zr", "Te", "Pb", "Te", "Pb", "Zr", "Pb", "Pb", "Zr", "Zr"], "fractional_positions": [[0.6501, 0.1501, 0.0000], [0.0000, 0.0000, 0.0000], [0.1511, 0.6511, 0.5000], [0.5000, 0.5000, 0.0000], [0.3489, 0.1511, 0.5000], [0.8499, 0.6501, 0.0000], [0.6511, 0.8489, 0.5000], [0.8489, 0.3489, 0.5000], [0.1501, 0.3499, 0.0000], [0.3499, 0.8499, 0.0000]], "e_form_raw_ev_per_atom": -0.244, "e_above_lowest_polymorph_ev_per_fu": 0.000}



# 5
{"formula": "Zr2Te2Pb", "functional": "PBE", "state": "relaxed", "lattice_angstrom": [[8.2398, 0.0000, 0.0000], [0.0000, 8.2398, 0.0000], [0.0000, 0.0000, 3.6873]], "species": ["Zr", "Pb", "Zr", "Te", "Zr", "Te", "Zr", "Te", "Te", "Pb"], "fractional_positions": [[0.8534, 0.6466, 0.0000], [0.0000, 0.0000, 0.0000], [0.6466, 0.1466, 0.0000], [0.8576, 0.3576, 0.5000], [0.3534, 0.8534, 0.0000], [0.1424, 0.6424, 0.5000], [0.1466, 0.3534, 0.0000], [0.3576, 0.1424, 0.5000], [0.6424, 0.8576, 0.5000], [0.5000, 0.5000, 0.0000]], "e_form_raw_ev_per_atom": -0.560}



# 6
{"formula": "ZrTePb2", "functional": "PBE", "state": "relaxed", "lattice_angstrom": [[-0.1813, -3.4157, -2.7433], [4.0626, -1.1586, 1.1740], [-2.4751, -9.0024, 7.8686]], "species": ["Pb", "Te", "Pb", "Te", "Pb", "Zr", "Zr", "Pb"], "fractional_positions": [[0.6208, 0.1250, 0.2500], [0.7500, 0.2500, 0.5000], [0.1292, 0.6250, 0.2500], [0.0000, 0.0000, 0.0000], [0.3750, 0.3792, 0.7500], [0.2500, 0.7500, 0.5000], [0.5000, 0.5000, 0.0000], [0.8750, 0.8708, 0.7500]], "e_form_raw_ev_per_atom": 0.041}



# 7
{"formula": "ZrTePb", "functional": "PBE", "state": "relaxed", "lattice_angstrom": [[-3.4012, -1.0628, 5.0543], [-4.1979, -3.7502, 2.5594], [1.8416, -2.4999, 2.1073]], "species": ["Pb", "Te", "Zr"], "fractional_positions": [[0.0077, 0.0077, 0.9923], [0.3041, 0.3041, 0.6959], [0.6882, 0.6882, 0.3118]], "e_form_raw_ev_per_atom": -0.420}



# 8
{"formula": "Th3Pb", "functional": "PBE", "state": "relaxed", "lattice_angstrom": [[4.9153, 0.0000, 0.0000], [0.0000, 4.9153, 0.0000], [-2.4576, -2.4576, 5.1410]], "species": ["Th", "Th", "Th", "Pb"], "fractional_positions": [[0.2500, 0.7500, 0.5000], [0.5000, 0.5000, 0.0000], [0.7500, 0.2500, 0.5000], [0.0000, 0.0000, 0.0000]], "formation_energy_ev_per_atom": -0.099}



# 9
{"formula": "ThPb", "functional": "PBE", "state": "relaxed", "lattice_angstrom": [[-1.7909, 1.1448, -2.9632], [-1.0671, -3.4797, -0.2269], [-3.6555, 0.9529, 2.5774]], "species": ["Th", "Pb"], "fractional_positions": [[0.4875, 0.5125, 0.5000], [0.9875, 0.0125, 0.0000]], "formation_energy_ev_per_atom": -0.285}



# 10
{"formula": "Th3Pb", "functional": "PBE", "state": "relaxed", "lattice_angstrom": [[-2.4416, -0.2574, 2.5356], [-0.7160, -5.5903, -1.2569], [4.3412, -1.4625, 4.0317]], "species": ["Th", "Pb", "Th", "Th"], "fractional_positions": [[0.0000, 0.0000, 0.9877], [0.0000, 0.5000, 0.3470], [0.5000, 0.0000, 0.4754], [0.5000, 0.5000, 0.8565]], "formation_energy_ev_per_atom": -0.107}



# 11
{"formula": "Th3Pb", "functional": "PBE", "state": "relaxed", "lattice_angstrom": [[-1.3604, -3.2316, 0.5286], [1.9561, 0.1154, 5.7399], [-5.3032, 3.9364, -1.4763]], "species": ["Th", "Pb", "Th", "Th"], "fractional_positions": [[0.7391, 0.0621, 0.4783], [0.0000, 0.0153, 0.0000], [0.2609, 0.5838, 0.5217], [0.5000, 0.5055, 0.0000]], "formation_energy_ev_per_atom": -0.123}



# 12
{"formula": "ThPb", "functional": "PBE", "state": "relaxed", "lattice_angstrom": [[-5.2125, 0.1923, -3.8091], [-3.5058, -5.3912, -0.6007], [2.4932, 3.5232, 4.8050]], "species": ["Th", "Pb", "Pb", "Th"], "fractional_positions": [[0.5000, 0.5000, 0.0000], [0.7500, 0.2500, 0.5000], [0.0000, 0.0000, 0.0000], [0.2500, 0.7500, 0.5000]], "formation_energy_ev_per_atom": -0.235}



no.,size of the total moment (μB per atom)
1,0.0000
2,0.0000
3,0.0000
4,0.0000
5,0.0000
6,0.0000
7,0.0000
8,0.0001
9,0.0000
10,0.0000
11,0.0000
12,0.0003